# 1
Sr2MgOsO6 | PBE | optimized geometry

Computed properties:
DFT total energy in eV per atom: -5.234

Unit cell a=3.7182 b=3.7182 c=10.0590 alpha=90.00 beta=90.00 gamma=90.00
Fractional coordinates of all 10 atoms:
Sr: 0.0000 0.0000 0.2464
Sr: 0.0000 0.0000 0.7536
Mg: 0.5000 0.5000 0.0000
Os: 0.5000 0.5000 0.5000
O: 0.0000 0.0000 0.0000
O: 0.0000 0.0000 0.5000
O: 0.0000 0.5000 0.3821
O: 0.0000 0.5000 0.6179
O: 0.5000 0.0000 0.3821
O: 0.5000 0.0000 0.6179

# 2
Hf3Cu2Pb2 | PBE | optimized geometry

Computed properties:
DFT total energy in eV per atom: -6.167

Unit cell a=8.3001 b=8.3001 c=8.3001 alpha=33.13 beta=33.13 gamma=33.13
Fractional coordinates of all 7 atoms:
Hf: 0.0000 0.0000 0.0000
Hf: 0.2474 0.2474 0.2474
Hf: 0.7447 0.7447 0.7447
Cu: 0.3748 0.3748 0.3748
Cu: 0.8678 0.8678 0.8678
Pb: 0.1280 0.1280 0.1280
Pb: 0.6121 0.6121 0.6121

# 3
Zr2Sc4Fe3N3 | PBE | optimized geometry

Computed properties:
DFT total energy in eV per atom: -8.515

Unit cell a=5.3971 b=5.3971 c=13.9134 alpha=101.62 beta=101.62 gamma=59.91
Fractional coordinates of all 24 atoms:
Zr: 0.0405 0.8737 0.6171
Zr: 0.1263 0.9595 0.8829
Zr: 0.8737 0.0405 0.1171
Zr: 0.9595 0.1263 0.3829
Sc: 0.1967 0.3621 0.0882
Sc: 0.3008 0.4722 0.4118
Sc: 0.3621 0.1967 0.5882
Sc: 0.4722 0.3008 0.9118
Sc: 0.5278 0.6992 0.0882
Sc: 0.6379 0.8033 0.4118
Sc: 0.6992 0.5278 0.5882
Sc: 0.8033 0.6379 0.9118
Fe: 0.0840 0.4051 0.7493
Fe: 0.4051 0.0840 0.2493
Fe: 0.4211 0.5789 0.2500
Fe: 0.5789 0.4211 0.7500
Fe: 0.5949 0.9160 0.7507
Fe: 0.9160 0.5949 0.2507
N: 0.0000 0.5000 0.5000
N: 0.1604 0.6793 0.0000
N: 0.3207 0.8396 0.5000
N: 0.5000 0.0000 0.0000
N: 0.6793 0.1604 0.5000
N: 0.8396 0.3207 0.0000

# 4
Cd2Pd | PBE | optimized geometry

Computed properties:
E_form in kcal/mol of atoms: 0.8
DFT total energy in eV per atom: -2.288

Unit cell a=5.4696 b=5.4696 c=5.4696 alpha=60.00 beta=60.00 gamma=60.00
Fractional coordinates of all 6 atoms:
Cd: 0.0000 0.0000 0.0000
Cd: 0.0000 0.0000 0.5000
Cd: 0.0000 0.5000 0.0000
Cd: 0.5000 0.0000 0.0000
Pd: 0.3750 0.3750 0.3750
Pd: 0.6250 0.6250 0.6250